A plane-wave DFT calculation with PBE+U was carried out for a relaxed structure of RbCaFeF6.

Its space-group type is P312. As for the total energy: -45.142 eV per cell. The calculation puts the density of states at the Fermi level at 0.00 states/eV/f.u.

Cell and atoms, written as POSCAR:
```
RbCaFeF6
1.0
-2.690 0.452 -4.991
-2.697 -4.499 -2.195
-4.939 1.593 2.807
F Fe Rb Ca
6 1 1 1
Cartesian
-4.386 -2.244 -2.517 F
-7.007 -3.022 -2.151 F
-7.692 -1.409 -4.267 F
-5.889 -3.488 -4.452 F
-5.198 -0.844 -4.736 F
-6.191 -0.399 -2.201 F
-6.061 -1.901 -3.387 Fe
-7.629 2.045 -2.184 Rb
-4.265 -0.554 -0.992 Ca
```


A plane-wave DFT calculation with PBE+U was carried out for a relaxed structure of Ca2FeReF.

Its space-group type is P4/mmm. As for the total energy: -24.597 eV per cell. The calculation puts the density of states at the Fermi level at 1.90 states/eV/f.u.

Cell and atoms, written as POSCAR:
```
Ca2FeReF
1.0
4.470 0.000 0.000
0.000 4.794 0.000
0.000 0.000 4.470
Re Fe F Ca
1 1 1 2
Cartesian
2.235 2.397 2.235 Re
0.000 2.397 0.000 Fe
0.000 0.000 0.000 F
0.000 0.000 2.235 Ca
2.235 0.000 0.000 Ca
```


A plane-wave DFT calculation with PBE+U was carried out for a relaxed structure of CaFeSnF6.

Its space-group type is P4_2nm. As for the total energy: -97.068 eV per cell. The calculation puts the density of states at the Fermi level at 0.00 states/eV/f.u.

Cell and atoms, written as POSCAR:
```
CaFeSnF6
1.0
-3.393 -1.655 3.600
-3.196 -1.660 -3.775
4.797 -9.545 0.135
F Fe Sn Ca
12 2 2 2
Cartesian
-0.280 -3.974 -0.005 F
-0.853 -6.389 -2.384 F
-2.503 -3.353 2.223 F
0.587 -9.488 2.059 F
-0.980 -6.386 2.344 F
-3.233 -5.459 -0.083 F
2.664 -10.566 0.079 F
-1.295 -8.757 -0.029 F
0.697 -9.491 -2.011 F
1.209 -7.497 0.038 F
-2.380 -3.356 -2.349 F
0.299 -11.755 0.016 F
0.714 -9.633 0.026 Fe
1.610 -3.203 0.045 Fe
0.026 -0.053 0.001 Sn
-0.869 -6.482 -0.019 Sn
3.219 -6.405 0.091 Ca
-2.474 -3.289 -0.064 Ca
```


A plane-wave DFT calculation with PBE+U was carried out for a relaxed structure of SrCaFeF2.

Its space-group type is P4/mmm. As for the total energy: -20.418 eV per cell. The calculation puts the density of states at the Fermi level at 2.47 states/eV/f.u.

Cell and atoms, written as POSCAR:
```
SrCaFeF2
1.0
4.440 0.000 0.000
0.000 9.437 0.000
0.000 0.000 4.440
Fe F Sr Ca
1 2 1 1
Cartesian
2.220 4.718 2.220 Fe
0.000 0.000 2.220 F
2.220 0.000 0.000 F
0.000 4.718 0.000 Sr
0.000 0.000 0.000 Ca
```


A plane-wave DFT calculation with PBE+U was carried out for a relaxed structure of SrCa2FeF.

Its space-group type is P4/mmm. As for the total energy: -14.518 eV per cell. The calculation puts the density of states at the Fermi level at 3.43 states/eV/f.u.

Cell and atoms, written as POSCAR:
```
SrCa2FeF
1.0
-3.058 -5.917 1.323
1.851 -1.657 -3.134
5.185 -1.784 4.005
Sr F Fe Ca
1 1 1 2
Cartesian
1.989 -4.679 1.097 Sr
0.925 -0.829 -1.567 F
0.000 0.000 0.000 Fe
2.593 -0.892 2.003 Ca
-1.529 -2.959 0.661 Ca
```